Entry a
The following is a GGA-PBE calculation of Sm3Ho6In after structural relaxation, from Alexandria via LeMat-Bulk.

Summary:
Its space group is P2_1/m, No. 11.

Unit cell a=3.544 b=12.905 c=16.012 alpha=121.19 beta=90.00 gamma=90.00
Positions (direct):
Sm (0.750, 0.387, 0.896)
Sm (0.250, 0.613, 0.104)
Sm (0.750, 0.622, 0.499)
Sm (0.250, 0.378, 0.501)
Sm (0.750, 0.125, 0.092)
Sm (0.250, 0.875, 0.908)
Ho (0.750, 0.595, 0.711)
Ho (0.250, 0.405, 0.289)
Ho (0.750, 0.859, 0.108)
Ho (0.250, 0.141, 0.892)
Ho (0.750, 0.381, 0.099)
Ho (0.250, 0.619, 0.901)
Ho (0.750, 0.666, 0.310)
Ho (0.250, 0.334, 0.690)
Ho (0.750, 0.113, 0.477)
Ho (0.250, 0.887, 0.523)
Ho (0.750, 0.884, 0.717)
Ho (0.250, 0.116, 0.283)
In (0.750, 0.117, 0.694)
In (0.250, 0.883, 0.306)

---

Entry b
The following is a GGA-PBE calculation of Sm3Ho6In after structural relaxation, from Alexandria via LeMat-Bulk.

Summary:
Its space group is P2_1/m, No. 11.

Unit cell a=5.578 b=9.662 c=12.732 alpha=114.36 beta=90.00 gamma=90.00
Positions (direct):
Sm (0.750, 0.848, 0.373)
Sm (0.250, 0.152, 0.627)
Sm (0.750, 0.380, 0.778)
Sm (0.250, 0.620, 0.222)
Sm (0.750, 0.202, 0.974)
Sm (0.250, 0.798, 0.026)
Ho (0.750, 0.609, 0.070)
Ho (0.250, 0.391, 0.930)
Ho (0.750, 0.023, 0.173)
Ho (0.250, 0.977, 0.827)
Ho (0.750, 0.974, 0.671)
Ho (0.250, 0.026, 0.329)
Ho (0.750, 0.251, 0.486)
Ho (0.250, 0.749, 0.514)
Ho (0.750, 0.451, 0.299)
Ho (0.250, 0.549, 0.701)
Ho (0.750, 0.788, 0.861)
Ho (0.250, 0.212, 0.139)
In (0.750, 0.616, 0.584)
In (0.250, 0.384, 0.416)

---

The relative energies come out as entry a 36; entry b 0, with values in meV per atom.

---

Entry a
The following is a GGA-PBE calculation of Sm6HoIn5 after structural relaxation, from Alexandria via LeMat-Bulk.

Summary:
Its space group is Immm, No. 71.

Unit cell a=5.030 b=9.001 c=9.183 alpha=119.35 beta=105.89 gamma=90.00
Positions (direct):
Ho (0.000, 0.000, 0.000)
Sm (0.829, 0.568, 0.659)
Sm (0.829, 0.091, 0.659)
Sm (0.500, 0.733, 0.000)
Sm (0.500, 0.267, 0.000)
Sm (0.171, 0.909, 0.341)
Sm (0.171, 0.432, 0.341)
In (0.652, 0.152, 0.305)
In (0.326, 0.326, 0.653)
In (0.000, 0.500, 0.000)
In (0.674, 0.674, 0.347)
In (0.348, 0.848, 0.695)

---

Entry b
The following is a GGA-PBE calculation of Sm6HoIn5 after structural relaxation, from Alexandria via LeMat-Bulk.

Summary:
Its space group is C2/m, No. 12.

Unit cell a=6.222 b=10.509 c=7.774 alpha=47.48 beta=81.00 gamma=76.62
Positions (direct):
Sm (0.730, 0.095, 0.363)
Sm (0.270, 0.542, 0.363)
Sm (0.213, 0.282, 0.000)
Sm (0.787, 0.718, 0.000)
Sm (0.730, 0.458, 0.637)
Sm (0.270, 0.905, 0.637)
Ho (0.000, 0.000, 0.000)
In (0.500, 0.132, 0.737)
In (0.000, 0.292, 0.416)
In (0.500, 0.500, 0.000)
In (0.000, 0.708, 0.584)
In (0.500, 0.868, 0.263)

---

The relative energies come out as entry a 0; entry b 139, with values in meV per atom.

---

Entry a
The following is a GGA-PBE calculation of Sm6HoIn after structural relaxation, from Alexandria via LeMat-Bulk.

Summary:
Its space group is C2/m, No. 12.

Unit cell a=6.677 b=6.677 c=9.421 alpha=110.92 beta=110.92 gamma=119.82
Positions (direct):
Sm (0.183, 0.183, 0.754)
Sm (0.679, 0.250, 0.246)
Sm (0.817, 0.817, 0.246)
Sm (0.750, 0.321, 0.754)
Sm (0.321, 0.750, 0.754)
Sm (0.250, 0.679, 0.246)
Ho (0.500, 0.500, 0.500)
In (0.000, 0.000, 0.000)

---

Entry b
The following is a GGA-PBE calculation of Sm6HoIn after structural relaxation, from Alexandria via LeMat-Bulk.

Summary:
Its space group is P4/mmm, No. 123.

Unit cell a=4.974 b=4.974 c=10.201 alpha=90.00 beta=90.00 gamma=90.00
Positions (direct):
Sm (0.500, 0.500, 0.000)
Sm (0.500, 0.500, 0.500)
Sm (0.500, 0.000, 0.244)
Sm (0.500, 0.000, 0.756)
Sm (0.000, 0.500, 0.244)
Sm (0.000, 0.500, 0.756)
Ho (0.000, 0.000, 0.500)
In (0.000, 0.000, 0.000)

---

The relative energies come out as entry a 133; entry b 0, with values in meV per atom.